# 1
# Cd3B7O14

Cd3B7O14 after structural relaxation (PBE-GGA, Alexandria).

```
48
Lattice="-5.9765 -4.8802 -4.4168 1.5941 -2.3420 -8.4271 1.8160 -8.4839 -1.9413" Properties=species:S:1:pos:R:3 pbc="T T T"
Cd -3.1691 -11.5326 -13.3434
Cd -0.0116 -13.0302 -12.3006
Cd -3.1262 -14.0359 -10.6916
Cd 1.2702 -5.1391 -4.9482
Cd -1.7947 -6.2052 -3.2837
Cd -1.9329 -3.6953 -5.9260
B -2.6707 -10.5921 -6.8991
B -2.8335 -7.5765 -10.0743
B 1.0137 -9.3132 -8.8971
B 0.1518 -5.0558 -7.9510
B 0.3189 -8.1895 -4.6511
B -3.6781 -6.3835 -5.8758
B -1.9307 -8.2495 -5.9011
B -2.0115 -6.4133 -7.8376
B 0.3238 -7.4820 -7.1077
B 0.9319 -2.7317 -6.9403
B 1.1019 -7.0394 -2.3938
B -4.3691 -4.5206 -4.1198
B -1.5520 -9.4982 -8.9413
B -0.2688 -1.6451 -1.5487
O -2.0189 -12.3558 -11.6314
O -0.7358 -4.5028 -4.2388
O -1.2398 -7.5878 -7.1429
O -2.5230 -15.4408 -14.5355
O -0.3494 -9.1975 -9.5441
O -1.6076 -10.4741 -7.9695
O -2.7170 -8.9331 -9.4140
O 1.4233 -9.2149 -4.5141
O -5.0122 -7.0692 -5.6764
O 0.1981 -4.4676 -9.3445
O -3.3602 -6.3550 -7.3027
O 0.7413 -6.3936 -7.9736
O -0.9121 -8.8606 -5.0660
O -2.2896 -7.6525 -11.4294
O 1.3836 -10.7247 -8.8035
O -3.9081 -11.0851 -7.5021
O -2.6598 -7.1883 -5.1665
O -1.2721 -5.1581 -7.5641
O 0.7321 -7.2365 -5.7041
O -4.2731 -7.2446 -10.1458
O 1.9776 -8.6149 -9.7752
O -2.1875 -11.5764 -5.9063
O 0.9601 -8.7301 -7.5484
O -2.9084 -9.2681 -6.3054
O -2.0696 -6.5916 -9.2942
O 0.1053 -7.5323 -3.3532
O -3.7603 -5.0073 -5.3645
O 0.9203 -4.1970 -7.0377
```

Summary:
Space-group type ... No. 161
Electronic total energy ... -6.992 eV per atom


# 2
# Ti2PdPt2

Ti2PdPt2 after structural relaxation (PBE-GGA, Alexandria).

```
10
Lattice="-4.3347 4.0939 4.6749 3.4407 -3.1653 5.9621 1.9552 2.0910 -0.0182" Properties=species:S:1:pos:R:3 pbc="T T T"
Pd 0.0000 0.0000 0.0000
Pd -0.4470 0.4643 5.3185
Pt 2.5756 -0.4100 4.4285
Pt 1.1863 0.9212 8.1142
Pt -1.5143 3.4296 6.1903
Pt -0.1250 2.0985 2.5046
Ti 1.4154 -1.2658 6.6099
Ti -1.3791 1.3581 7.8605
Ti -2.3093 2.1945 4.0272
Ti 0.4852 -0.4295 2.7766
```

Summary:
Energy of formation from the pure elements ... -0.67 eV/atom
Energy relative to the lowest polymorph listed for this composition ... 2.86 kcal/mol of atoms
Space-group type ... No. 127